[1]
! Sr2Li5Cd2 | the Alexandria database | PBE-GGA | relaxed; values from VASP
&SYSTEM
  ibrav = 0, nat = 9, ntyp = 3
/
ATOMIC_SPECIES
Sr 87.62 Sr.upf
Li 6.94 Li.upf
Cd 112.41 Cd.upf
ATOMIC_POSITIONS crystal
Sr 0.000 0.000 0.000
Sr 0.000 0.000 0.500
Li 0.000 0.500 0.229
Li 0.000 0.500 0.771
Li 0.500 0.000 0.229
Li 0.500 0.000 0.771
Li 0.500 0.500 0.000
Cd 0.500 0.500 0.373
Cd 0.500 0.500 0.627
CELL_PARAMETERS angstrom
4.601 0.000 0.000
0.000 4.601 0.000
0.000 0.000 11.869
! ρ (g/cm3): 2.87
! Space-group type: P4/mmm
! Calculated total energy (eV/atom): -1.71
! Energy of formation (meV/atom): -67.7
! Total magnetic moment (μB per formula unit): 0.00

***

[2]
! Tb4SnBiC | the Alexandria database | PBE-GGA | relaxed; values from VASP
&SYSTEM
  ibrav = 0, nat = 14, ntyp = 4
/
ATOMIC_SPECIES
Tb 158.93 Tb.upf
Sn 118.71 Sn.upf
Bi 208.98 Bi.upf
C 12.01 C.upf
ATOMIC_POSITIONS crystal
Tb 0.000 0.500 0.000
Tb 0.000 0.500 0.500
Tb 0.092 0.908 0.750
Tb 0.404 0.596 0.750
Tb 0.500 0.000 0.000
Tb 0.500 0.000 0.500
Tb 0.596 0.404 0.250
Tb 0.908 0.092 0.250
Sn 0.109 0.891 0.250
Sn 0.891 0.109 0.750
Bi 0.394 0.606 0.250
Bi 0.606 0.394 0.750
C 0.249 0.751 0.750
C 0.751 0.249 0.250
CELL_PARAMETERS angstrom
3.437 -8.004 0.000
3.437 8.004 0.000
0.000 0.000 6.874
! ρ (g/cm3): 8.57
! Space-group type: Cmcm
! Calculated total energy (eV/atom): -5.74
! Energy of formation (meV/atom): -653.1
! Total magnetic moment (μB per formula unit): 0.00

***

Which value of calculated total energy does entry 1 give?
-1.71 eV/atom